No. 1
VASP calculation (PBE) on a geometry-optimized NpMoN3 structure.

Cell: 3.1681 5.3195 6.6870 Å, 90.00 90.00 90.00°
Atoms (fractional coordinates):
Np (0.2500, 0.2500, 0.1543)
Np (0.7500, 0.7500, 0.8457)
Mo (0.2500, 0.7500, 0.4108)
Mo (0.7500, 0.2500, 0.5892)
N (0.2500, 0.5104, 0.6608)
N (0.2500, 0.7500, 0.0706)
N (0.2500, 0.9896, 0.6608)
N (0.7500, 0.0104, 0.3392)
N (0.7500, 0.2500, 0.9294)
N (0.7500, 0.4896, 0.3392)

E_form (uncorrected)	-0.598	eV/atom
crystal system	orthorhombic

=====

No. 2
VASP calculation (PBE) on a geometry-optimized Np2MoN3 structure.

Cell: 7.3072 7.3072 7.3072 Å, 153.48 153.48 37.85°
Atoms (fractional coordinates):
Np (0.1593, 0.1593, 0.0000)
Np (0.8407, 0.8407, 0.0000)
Mo (0.5000, 0.5000, 0.0000)
N (0.0000, 0.0000, 0.0000)
N (0.3375, 0.3375, 0.0000)
N (0.6625, 0.6625, 0.0000)

E_form (uncorrected)	-0.850	eV/atom
crystal system	tetragonal

=====

No. 3
VASP calculation (PBE) on a geometry-optimized NpMoN2 structure.

Cell: 5.6112 3.1824 10.9009 Å, 90.00 90.00 90.00°
Atoms (fractional coordinates):
Np (0.0755, 0.2500, 0.1445)
Np (0.4245, 0.7500, 0.6445)
Np (0.5755, 0.2500, 0.3555)
Np (0.9245, 0.7500, 0.8555)
Mo (0.0707, 0.7500, 0.4006)
Mo (0.4293, 0.2500, 0.9006)
Mo (0.5707, 0.7500, 0.0994)
Mo (0.9293, 0.2500, 0.5994)
N (0.1649, 0.2500, 0.7555)
N (0.2421, 0.7500, 0.9967)
N (0.2579, 0.2500, 0.4967)
N (0.3351, 0.7500, 0.2555)
N (0.6649, 0.2500, 0.7445)
N (0.7421, 0.7500, 0.5033)
N (0.7579, 0.2500, 0.0033)
N (0.8351, 0.7500, 0.2445)

E_form (uncorrected)	-0.916	eV/atom
crystal system	orthorhombic

=====

No. 4
VASP calculation (PBE) on a geometry-optimized NpMo2N3 structure.

Cell: 7.0109 7.0109 4.5118 Å, 91.05 91.05 140.95°
Atoms (fractional coordinates):
Np (0.2206, 0.2206, 0.2415)
Np (0.7794, 0.7794, 0.7585)
Mo (0.1242, 0.4719, 0.7793)
Mo (0.4719, 0.1242, 0.7793)
Mo (0.5281, 0.8758, 0.2207)
Mo (0.8758, 0.5281, 0.2207)
N (0.0753, 0.4158, 0.2628)
N (0.2994, 0.2994, 0.7398)
N (0.4158, 0.0753, 0.2628)
N (0.5842, 0.9247, 0.7372)
N (0.7006, 0.7006, 0.2602)
N (0.9247, 0.5842, 0.7372)

E_form (uncorrected)	-0.537	eV/atom
crystal system	monoclinic

=====

No. 5
VASP calculation (PBE) on a geometry-optimized Np3MoN4 structure.

Cell: 5.7178 6.6677 5.8763 Å, 90.00 109.77 90.00°
Atoms (fractional coordinates):
Np (0.0000, 0.1171, 0.2500)
Np (0.0000, 0.3670, 0.7500)
Np (0.0000, 0.6330, 0.2500)
Np (0.0000, 0.8829, 0.7500)
Np (0.5000, 0.3647, 0.2500)
Np (0.5000, 0.6353, 0.7500)
Mo (0.5000, 0.1385, 0.7500)
Mo (0.5000, 0.8615, 0.2500)
N (0.2554, 0.3714, 0.5059)
N (0.2554, 0.6286, 0.0059)
N (0.2738, 0.1114, 0.0045)
N (0.2738, 0.8886, 0.5045)
N (0.7262, 0.1114, 0.4955)
N (0.7262, 0.8886, 0.9955)
N (0.7446, 0.3714, 0.9941)
N (0.7446, 0.6286, 0.4941)

E_form (uncorrected)	-0.971	eV/atom
crystal system	monoclinic

=====

No. 6
VASP calculation (PBE) on a geometry-optimized Np3Mo5N12 structure.

Cell: 10.9877 10.9877 10.9877 Å, 109.47 109.47 109.47°
Atoms (fractional coordinates):
Np (0.1250, 0.2500, 0.3750)
Np (0.1250, 0.3750, 0.7500)
Np (0.2500, 0.3750, 0.1250)
Np (0.2500, 0.8750, 0.6250)
Np (0.3750, 0.1250, 0.2500)
Np (0.3750, 0.7500, 0.1250)
Np (0.6250, 0.2500, 0.8750)
Np (0.6250, 0.8750, 0.7500)
Np (0.7500, 0.1250, 0.3750)
Np (0.7500, 0.6250, 0.8750)
Np (0.8750, 0.6250, 0.2500)
Np (0.8750, 0.7500, 0.6250)
Mo (0.0000, 0.0000, 0.0000)
Mo (0.0000, 0.0000, 0.5000)
Mo (0.0000, 0.5000, 0.0000)
Mo (0.0000, 0.5000, 0.5000)
Mo (0.1250, 0.7500, 0.8750)
Mo (0.1250, 0.8750, 0.2500)
Mo (0.2500, 0.1250, 0.8750)
Mo (0.2500, 0.6250, 0.3750)
Mo (0.3750, 0.2500, 0.6250)
Mo (0.3750, 0.6250, 0.7500)
Mo (0.5000, 0.0000, 0.0000)
Mo (0.5000, 0.0000, 0.5000)
Mo (0.5000, 0.5000, 0.0000)
Mo (0.5000, 0.5000, 0.5000)
Mo (0.6250, 0.3750, 0.2500)
Mo (0.6250, 0.7500, 0.3750)
Mo (0.7500, 0.3750, 0.6250)
Mo (0.7500, 0.8750, 0.1250)
Mo (0.8750, 0.1250, 0.7500)
Mo (0.8750, 0.2500, 0.1250)
N (0.0283, 0.2088, 0.1235)
N (0.0283, 0.3195, 0.9047)
N (0.0853, 0.7088, 0.6805)
N (0.0853, 0.8765, 0.4047)
N (0.0953, 0.6235, 0.4147)
N (0.0953, 0.9717, 0.6805)
N (0.1235, 0.0283, 0.2088)
N (0.1235, 0.5953, 0.9147)
N (0.1805, 0.2088, 0.5853)
N (0.1805, 0.4717, 0.5953)
N (0.2088, 0.1235, 0.0283)
N (0.2088, 0.5853, 0.1805)
N (0.2912, 0.3195, 0.9147)
N (0.2912, 0.4717, 0.3765)
N (0.3195, 0.9047, 0.0283)
N (0.3195, 0.9147, 0.2912)
N (0.3765, 0.2912, 0.4717)
N (0.3765, 0.5853, 0.9047)
N (0.4047, 0.0853, 0.8765)
N (0.4047, 0.8195, 0.5283)
N (0.4147, 0.0953, 0.6235)
N (0.4147, 0.8195, 0.7912)
N (0.4717, 0.3765, 0.2912)
N (0.4717, 0.5953, 0.1805)
N (0.5283, 0.4047, 0.8195)
N (0.5283, 0.6235, 0.7088)
N (0.5853, 0.1805, 0.2088)
N (0.5853, 0.9047, 0.3765)
N (0.5953, 0.1805, 0.4717)
N (0.5953, 0.9147, 0.1235)
N (0.6235, 0.4147, 0.0953)
N (0.6235, 0.7088, 0.5283)
N (0.6805, 0.0853, 0.7088)
N (0.6805, 0.0953, 0.9717)
N (0.7088, 0.5283, 0.6235)
N (0.7088, 0.6805, 0.0853)
N (0.7912, 0.4147, 0.8195)
N (0.7912, 0.8765, 0.9717)
N (0.8195, 0.5283, 0.4047)
N (0.8195, 0.7912, 0.4147)
N (0.8765, 0.4047, 0.0853)
N (0.8765, 0.9717, 0.7912)
N (0.9047, 0.0283, 0.3195)
N (0.9047, 0.3765, 0.5853)
N (0.9147, 0.1235, 0.5953)
N (0.9147, 0.2912, 0.3195)
N (0.9717, 0.6805, 0.0953)
N (0.9717, 0.7912, 0.8765)

E_form (uncorrected)	-0.563	eV/atom
crystal system	cubic

=====

| no. | uncorrected energy (eV per atom) |
| --- | --- |
| 1 | -10.35 |
| 2 | -11.13 |
| 3 | -11.02 |
| 4 | -10.47 |
| 5 | -11.34 |
| 6 | -10.21 |